The following is a PBE-GGA calculation of crystalline SmDyCdAg at its relaxed geometry, from the Alexandria database.

abc: 3.7102 3.7102 7.5069
angles: 90.00 90.00 90.00
Closest atoms and distances in Å follow each position.
Fractional positions:
Sm 0.5000 0.5000 0.1134  4 Ag 3.25, 4 Cd 3.29, 1 Dy 3.63
Ag 0.0000 0.0000 0.3690  4 Dy 3.13, 4 Sm 3.25
Dy 0.5000 0.5000 0.5974  4 Ag 3.13, 4 Cd 3.23
Cd 0.0000 0.0000 0.8482  4 Dy 3.23, 4 Sm 3.29, 1 Ag 3.60

Results
M_tot   0.1 μB per formula unit
Energy of formation from the pure elements   -0.30 eV/atom
Symmetry   P4mm, No. 99